First-principles (PBE+U) data for a geometry-optimized ZrFePdF2 structure, as listed in the Alexandria database.

final energy = -4.783 eV per atom

a = 4.2606 Å, b = 4.2606 Å, c = 5.2590 Å
α = 90.00°, β = 90.00°, γ = 90.00°
With the nearest neighbours (Å) after each atom.
Space group P4/mmm (No. 123)
One atom of each set of equivalent atoms:
Zr 0.0000 0.0000 0.0000 x1  2 Pd 2.63
Fe 0.5000 0.5000 0.0000 x1  4 Zr 3.01
Pd 0.0000 0.0000 0.5000 x1  4 F 2.13
F 0.0000 0.5000 0.5000 x2  2 Pd 2.13